(one)
A plane-wave DFT calculation with PBE was carried out for an optimized crystal structure of CeGaBi.

Geometry as POSCAR:
```
CeGaBi
1.0
4.465 0.063 -0.417
2.275 3.841 -0.427
-0.873 -0.482 10.070
Ce Ga Bi
2 2 2
Cartesian
4.524 1.378 7.432
1.342 2.044 1.794
2.455 0.183 9.455
3.412 3.239 -0.230
3.814 0.958 3.571
2.052 2.464 5.655
```

Properties
magnetization	0.94	μB/f.u.

=====

(two)
A plane-wave DFT calculation with PBE was carried out for an optimized crystal structure of CeGaBi.

Geometry as POSCAR:
```
CeGaBi
1.0
-2.226 -3.067 -0.608
2.417 -1.215 -2.724
2.717 -0.640 5.401
Ce Bi Ga
1 1 1
Cartesian
0.032 -0.031 0.042
1.754 -1.735 2.330
1.122 -3.157 -0.302
```

Properties
magnetization	1.55	μB/f.u.

=====

Least stable structure among those shown: (two).